DFT (PBE) results for a geometry-optimized Nb3CoSe structure.

Cell: 4.6970 4.6970 4.6970 Å, 90.00 90.00 90.00°
Last column: nearest neighbours and their distance in Å.
Fractional positions:
1 Nb 0.0000 0.0000 0.5000  2 Se 2.35
2 Nb 0.0000 0.5000 0.0000  2 Se 2.35
3 Nb 0.5000 0.0000 0.0000  2 Se 2.35
4 Se 0.0000 0.0000 0.0000  6 Nb 2.35
5 Co 0.5000 0.5000 0.5000  12 Nb 3.32

Results
relative energy among the computed polymorphs = 0.413 eV per atom
symmetry = Pm-3m (221)
size of the total moment = 0.0 μB/f.u.